[1]
Li3Ti2Fe3O10, PBEsol geometry, DFT SCAN; uncorrected energy = -10.9731 eV/atom; space-group type = P-1, No. 2
1.0
4.9141 0.0000 0.0000
0.7543 4.9879 0.0000
2.3363 2.0062 6.9112
Li Ti Fe O
3 2 3 10
Direct
0.0000 0.0000 0.0000
0.2774 0.5107 0.9080
0.7226 0.4893 0.0920
0.3680 0.0024 0.1963
0.6320 0.9976 0.8037
0.1933 0.0169 0.5971
0.5000 0.5000 0.5000
0.8067 0.9831 0.4029
0.0401 0.2160 0.1636
0.1534 0.7787 0.4565
0.2806 0.2424 0.7263
0.3783 0.7748 0.0361
0.4736 0.2110 0.3615
0.5264 0.7890 0.6385
0.6217 0.2252 0.9639
0.7194 0.7576 0.2737
0.8466 0.2213 0.5435
0.9599 0.7840 0.8364

---

[2]
Li2TiFe3O8, PBEsol geometry, DFT SCAN; uncorrected energy = -11.0611 eV/atom; offset from the most stable computed form = 0 meV per atom; space-group type = R-3m, No. 166
1.0
2.8374 1.6382 4.6629
-2.8374 1.6382 4.6629
0.0000 -3.2764 4.6629
Li Ti Fe O
2 1 3 8
Direct
0.1237 0.1237 0.1237
0.8763 0.8763 0.8763
0.5000 0.5000 0.5000
0.0000 0.5000 0.5000
0.5000 0.0000 0.5000
0.5000 0.5000 0.0000
0.2572 0.2572 0.7161
0.2572 0.7161 0.2572
0.2644 0.2644 0.2644
0.2839 0.7428 0.7428
0.7161 0.2572 0.2572
0.7356 0.7356 0.7356
0.7428 0.2839 0.7428
0.7428 0.7428 0.2839

---

[3]
Li3TiFe4O8, PBEsol geometry, DFT SCAN; uncorrected energy = -11.1463 eV/atom; space-group type = C2/m, No. 12
1.0
5.0689 -2.9326 0.0000
5.0689 2.9326 0.0000
-3.4275 0.0000 4.8115
Li Ti Fe O
3 1 4 8
Direct
0.0000 0.0000 0.0000
0.0000 0.5000 0.0000
0.5000 0.0000 0.0000
0.5000 0.5000 0.5000
0.0000 0.0000 0.5000
0.0000 0.5000 0.5000
0.5000 0.0000 0.5000
0.5000 0.5000 0.0000
0.2503 0.2503 0.7500
0.2533 0.7398 0.2534
0.2602 0.7467 0.7466
0.2626 0.2626 0.2695
0.7374 0.7374 0.7305
0.7398 0.2533 0.2534
0.7467 0.2602 0.7466
0.7497 0.7497 0.2500

---

[4]
Li6TiFe5O12, PBEsol geometry, DFT SCAN; uncorrected energy = -10.1971 eV/atom; space-group type = C2, No. 5
1.0
2.3984 -4.1531 0.0000
2.3984 4.1531 0.0000
-1.5983 0.0000 9.7274
Li Ti Fe O
6 1 5 12
Direct
0.0799 0.0799 0.2535
0.2408 0.5830 0.7470
0.4170 0.7592 0.2530
0.5828 0.2488 0.7462
0.7512 0.4172 0.2538
0.9201 0.9201 0.7465
0.4912 0.5088 0.5000
0.1680 0.8320 0.5000
0.3342 0.6658 0.0000
0.6644 0.3356 0.0000
0.8343 0.1657 0.5000
0.9984 0.0016 0.0000
0.0370 0.7048 0.1091
0.1143 0.4598 0.3807
0.1972 0.1961 0.6166
0.2952 0.9630 0.8909
0.3685 0.3699 0.1115
0.4625 0.1226 0.3862
0.5402 0.8857 0.6193
0.6301 0.6315 0.8885
0.7014 0.0384 0.1098
0.8039 0.8028 0.3834
0.8774 0.5375 0.6138
0.9616 0.2986 0.8902

---

[5]
Li5V5Fe2O12, PBEsol geometry, DFT SCAN; uncorrected energy = -11.0977 eV/atom; space-group type = C2, No. 5
1.0
2.5168 -4.2519 0.0000
2.5168 4.2519 0.0000
-1.7277 0.0000 9.4593
Li V Fe O
5 5 2 12
Direct
0.0000 0.0000 0.0000
0.2322 0.2527 0.7579
0.3989 0.0745 0.2381
0.7473 0.7678 0.2421
0.9255 0.6011 0.7619
0.0818 0.4207 0.2458
0.1603 0.8397 0.5000
0.5179 0.4821 0.5000
0.5793 0.9182 0.7542
0.6576 0.3424 0.0000
0.3326 0.6674 0.0000
0.8117 0.1883 0.5000
0.0271 0.7019 0.1273
0.1277 0.1319 0.3766
0.2216 0.5474 0.6179
0.2981 0.9729 0.8727
0.3636 0.3746 0.1292
0.4526 0.7784 0.3821
0.5285 0.2052 0.6341
0.6254 0.6364 0.8708
0.7135 0.0656 0.1237
0.7948 0.4715 0.3659
0.8681 0.8723 0.6234
0.9344 0.2865 0.8763

---

[6]
Li4V3FeO10, PBEsol geometry, DFT SCAN; uncorrected energy = -10.3316 eV/atom; space-group type = P-4m2, No. 115
1.0
6.5553 0.0000 0.0000
0.0000 6.5553 0.0000
0.0000 0.0000 4.4891
Li V Fe O
4 3 1 10
Direct
0.2413 0.2413 0.0000
0.2413 0.7587 0.0000
0.7587 0.2413 0.0000
0.7587 0.7587 0.0000
0.0000 0.5000 0.3881
0.5000 0.0000 0.6119
0.5000 0.5000 0.5000
0.0000 0.0000 0.5000
0.0000 0.2321 0.2587
0.0000 0.5000 0.7564
0.0000 0.7679 0.2587
0.2321 0.0000 0.7413
0.2874 0.5000 0.2690
0.5000 0.0000 0.2436
0.5000 0.2874 0.7310
0.5000 0.7126 0.7310
0.7126 0.5000 0.2690
0.7679 0.0000 0.7413

---

[7]
LiVFeO4, PBEsol geometry, DFT SCAN; uncorrected energy = -11.2372 eV/atom; offset from the most stable computed form = 18 meV per atom; space-group type = Cmcm, No. 63
1.0
2.8307 -4.2666 0.0000
2.8307 4.2666 0.0000
0.0000 0.0000 6.0703
Li V Fe O
2 2 2 8
Direct
0.1619 0.8381 0.7500
0.8381 0.1619 0.2500
0.1479 0.8521 0.2500
0.8521 0.1479 0.7500
0.5000 0.5000 0.0000
0.5000 0.5000 0.5000
0.2244 0.2623 0.7500
0.2623 0.2244 0.2500
0.2675 0.7325 0.0252
0.2675 0.7325 0.4748
0.7325 0.2675 0.5252
0.7325 0.2675 0.9748
0.7377 0.7756 0.7500
0.7756 0.7377 0.2500

---

[8]
LiVFeO4, PBEsol geometry, DFT SCAN; uncorrected energy = -11.2556 eV/atom; offset from the most stable computed form = 0 meV per atom; space-group type = Imma, No. 74
1.0
-2.8631 2.9285 4.0904
2.8631 -2.9285 4.0904
2.8631 2.9285 -4.0904
Li V Fe O
2 2 2 8
Direct
0.0000 0.0000 0.0000
0.5000 0.0000 0.5000
0.3724 0.6224 0.7500
0.6276 0.3776 0.2500
0.0000 0.0000 0.5000
0.0000 0.5000 0.0000
0.2460 0.2550 0.5090
0.2460 0.7370 0.9910
0.2480 0.7453 0.5027
0.2574 0.2547 0.0027
0.7426 0.7453 0.9973
0.7520 0.2547 0.4973
0.7540 0.2630 0.0090
0.7540 0.7450 0.4910

---

What did we get for D(E_F)? Answer: 0.027, 0.130, 0.229, 0.373, 0.276, 0.192, 0.309, 0.335 states/eV/atom, in the order shown.
What did we get for formation energy without anion corrections? Answer: -2.3103, -2.1291, -2.0484, -2.0392, -2.3301, -2.4168, -2.2468, -2.2652 eV per atom, in the order shown.